Entry 1:
Material: AlZnSb
Method: DFT, PBE-GGA
State: optimized geometry

Total energy, eV/atom: -2.910
Symmetry: Amm2

CIF file:
```
data_AlZnSb
_chemical_formula_sum 'Al2 Zn2 Sb2'
_cell_length_a 4.246
_cell_length_b 2.990
_cell_length_c 14.868
_cell_angle_alpha 90.00
_cell_angle_beta 90.00
_cell_angle_gamma 135.23
_symmetry_space_group_name_H-M 'P 1'
_symmetry_Int_Tables_number 1
loop_
_symmetry_equiv_pos_as_xyz
'x,y,z'
loop_
_atom_site_label
_atom_site_fract_x
_atom_site_fract_y
_atom_site_fract_z
Al1 0.848 0.696 0.000
Al2 0.364 0.728 0.500
Zn1 0.864 0.728 0.380
Zn2 0.864 0.728 0.620
Sb1 0.863 0.726 0.804
Sb2 0.863 0.726 0.196
```

Entry 2:
Material: Al2ZnSb
Method: DFT, PBE-GGA
State: optimized geometry

Total energy, eV/atom: -3.071
Symmetry: Cm

CIF file:
```
data_Al2ZnSb
_chemical_formula_sum 'Al2 Zn1 Sb1'
_cell_length_a 4.639
_cell_length_b 4.639
_cell_length_c 5.428
_cell_angle_alpha 74.41
_cell_angle_beta 74.41
_cell_angle_gamma 47.09
_symmetry_space_group_name_H-M 'P 1'
_symmetry_Int_Tables_number 1
loop_
_symmetry_equiv_pos_as_xyz
'x,y,z'
loop_
_atom_site_label
_atom_site_fract_x
_atom_site_fract_y
_atom_site_fract_z
Sb1 0.491 0.491 0.493
Zn1 0.260 0.260 0.189
Al1 0.000 0.000 0.019
Al2 0.748 0.748 0.799
```

no.,size of the total moment (μB/f.u.)
1,0.00
2,0.00